Version a
# PBEsol KSi3, relaxed
# Magnetic moment ... 0.0 μB/cell
# Fermi-level density of states ... 0.26 states/eV/atom
data_KSi3
_chemical_formula_sum 'K4 Si12'
_cell_length_a 7.404
_cell_length_b 12.952
_cell_length_c 3.523
_cell_angle_alpha 90.00
_cell_angle_beta 90.00
_cell_angle_gamma 90.00
_symmetry_space_group_name_H-M 'C m c m'
_symmetry_Int_Tables_number 63
_symmetry_space_group_name_Hall '-C 2c 2'
loop_
_atom_site_label
_atom_site_type_symbol
_atom_site_fract_x
_atom_site_fract_y
_atom_site_fract_z
K1 K 0.000 0.096 0.250
Si1 Si 0.000 0.419 0.250
Si2 Si 0.155 0.294 0.750

Version b
# PBEsol KSi3, relaxed
# Magnetic moment ... 0.0 μB/cell
# Fermi-level density of states ... 0.62 states/eV/atom
data_KSi3
_chemical_formula_sum 'K1 Si3'
_cell_length_a 4.220
_cell_length_b 4.220
_cell_length_c 4.220
_cell_angle_alpha 90.00
_cell_angle_beta 90.00
_cell_angle_gamma 90.00
_symmetry_space_group_name_H-M 'P m -3 m'
_symmetry_Int_Tables_number 221
_symmetry_space_group_name_Hall '-P 4 2 3'
loop_
_atom_site_label
_atom_site_type_symbol
_atom_site_fract_x
_atom_site_fract_y
_atom_site_fract_z
K1 K 0.000 0.000 0.000
Si1 Si 0.000 0.500 0.500

We find version a to be the most stable, with the next structure 324 meV per atom higher.